This record from Alexandria via LeMat-Bulk describes an optimized crystal structure of RbTc2I2. The functional is PBE-GGA.

Lattice parameters (Å, degrees): 9.492 9.492 4.896 90.00 90.00 90.00
Sites, in units of the cell vectors:
1 I 0.152 0.652 0.000
2 I 0.652 0.848 0.000
3 I 0.848 0.348 0.000
4 I 0.348 0.152 0.000
5 Tc 0.078 0.578 0.500
6 Tc 0.578 0.922 0.500
7 Tc 0.922 0.422 0.500
8 Tc 0.422 0.078 0.500
9 Rb 0.000 0.000 0.000
10 Rb 0.500 0.500 0.000

**Total DFT energy (no corrections)**: -4.440 eV/atom
**Excess energy over the best structure of this formula in the dataset**: 114 meV/atom
**Uncorrected formation energy**: 0.52 eV/atom